1.
## BaSn3Pt (GGA-PBE)

Data for BaSn3Pt after structural relaxation.

Computed properties:
- space-group type = Pm-3m
- E_form (kJ per mole of atoms) = 151.76

Cell lengths 6.0039, 6.0039, 6.0039 Å; angles 90.00, 90.00, 90.00 degrees
Positions (direct):
1 Sn 0.5000 0.0000 0.0000
2 Sn 0.0000 0.0000 0.5000
3 Sn 0.0000 0.5000 0.0000
4 Pt 0.5000 0.5000 0.5000
5 Ba 0.0000 0.0000 0.0000

***

2.
## AlF3 (GGA-PBE)

Data for AlF3 after structural relaxation.

Computed properties:
- space-group type = P4/nmm

Cell lengths 7.2658, 10.3230, 10.3230 Å; angles 90.00, 90.00, 90.00 degrees
Positions (direct):
1 Al 0.9084 0.5000 0.0000
2 Al 0.0916 0.0000 0.5000
3 Al 0.0000 0.2500 0.2500
4 Al 0.6714 0.3365 0.5000
5 Al 0.3286 0.8365 0.0000
6 Al 0.3286 0.5000 0.6635
7 Al 0.6714 0.6635 0.5000
8 Al 0.6714 0.0000 0.8365
9 Al 0.0000 0.7500 0.2500
10 Al 0.0000 0.7500 0.7500
11 Al 0.6714 0.0000 0.1635
12 Al 0.5885 0.0000 0.5000
13 Al 0.0000 0.2500 0.7500
14 Al 0.4115 0.5000 0.0000
15 Al 0.3286 0.5000 0.3365
16 Al 0.3286 0.1635 0.0000
17 F 0.0921 0.8713 0.6287
18 F 0.4104 0.5000 0.8264
19 F 0.8376 0.1277 0.8017
20 F 0.0921 0.1287 0.3713
21 F 0.8376 0.6983 0.3723
22 F 0.1573 0.5000 0.0000
23 F 0.4104 0.5000 0.1736
24 F 0.7551 0.5000 0.5000
25 F 0.1624 0.1983 0.8723
26 F 0.2449 0.0000 0.0000
27 F 0.1624 0.3723 0.6983
28 F 0.2449 0.5000 0.5000
29 F 0.5896 0.8264 0.5000
30 F 0.4104 0.6736 0.0000
31 F 0.9079 0.3713 0.8713
32 F 0.8376 0.8723 0.8017
33 F 0.5000 0.8764 0.1236
34 F 0.6617 0.5000 0.0000
35 F 0.0921 0.8713 0.3713
36 F 0.5896 0.1736 0.5000
37 F 0.5896 0.0000 0.3264
38 F 0.8376 0.1277 0.1983
39 F 0.5000 0.8764 0.8764
40 F 0.5000 0.6236 0.3764
41 F 0.0921 0.1287 0.6287
42 F 0.1624 0.3723 0.3017
43 F 0.1624 0.1983 0.1277
44 F 0.8376 0.3017 0.6277
45 F 0.8427 0.0000 0.5000
46 F 0.1624 0.8017 0.8723
47 F 0.3383 0.0000 0.5000
48 F 0.1624 0.6277 0.6983
49 F 0.9079 0.6287 0.1287
50 F 0.9079 0.6287 0.8713
51 F 0.4104 0.3264 0.0000
52 F 0.5000 0.3764 0.3764
53 F 0.1624 0.6277 0.3017
54 F 0.5000 0.3764 0.6236
55 F 0.9079 0.3713 0.1287
56 F 0.5000 0.1236 0.1236
57 F 0.8376 0.6983 0.6277
58 F 0.8376 0.3017 0.3723
59 F 0.5896 0.0000 0.6736
60 F 0.7551 0.0000 0.0000
61 F 0.8376 0.8723 0.1983
62 F 0.1624 0.8017 0.1277
63 F 0.5000 0.1236 0.8764
64 F 0.5000 0.6236 0.6236

***

One value per record, in order, for E_tot: -2.422 -5.879 eV per atom.